1.
## CuAgOs (PBE-GGA)

Data for an optimized crystal structure of CuAgOs.

Cell: 4.1464 4.1464 4.1464 Å, 60.00 60.00 60.00°
Closest atoms and distances in Å follow each position.
Element x y z (fractional)
Ag (0.5000, 0.5000, 0.5000)  4 Cu 2.54
Cu (0.7500, 0.7500, 0.7500)  4 Os 2.54, 4 Ag 2.54
Os (0.0000, 0.0000, 0.0000)  4 Cu 2.54

Raw total energy = -14.7 eV for the cell shown
DFT formation energy = 1150.8 meV per atom
Density = 11.9 Mg/m³
Size of the total moment = 2.114 μB/cell
Symmetry = F-43m



2.
## CuAg2Os (PBE-GGA)

Data for an optimized crystal structure of CuAg2Os.

Cell: 3.7331 3.7331 10.0582 Å, 79.31 79.31 90.00°
Closest atoms and distances in Å follow each position.
Element x y z (fractional)
Os (0.0000, 0.0000, 0.0000)  4 Cu 2.64, 4 Ag 2.76
Os (0.7500, 0.2500, 0.5000)  4 Cu 2.64, 4 Ag 2.76
Cu (0.5000, 0.5000, 0.0000)  4 Os 2.64, 4 Ag 2.76
Cu (0.2500, 0.7500, 0.5000)  4 Os 2.64, 4 Ag 2.76
Ag (0.6233, 0.1250, 0.2500)  4 Ag 2.63-2.65, 2 Cu 2.76, 2 Os 2.76
Ag (0.1267, 0.6250, 0.2500)  4 Ag 2.63-2.65, 2 Cu 2.76, 2 Os 2.76
Ag (0.3750, 0.3767, 0.7500)  4 Ag 2.63-2.65, 2 Cu 2.76, 2 Os 2.76
Ag (0.8750, 0.8733, 0.7500)  4 Ag 2.63-2.65, 2 Cu 2.76, 2 Os 2.76

Raw total energy = -33.9 eV for the cell shown
DFT formation energy = 1015.0 meV per atom
Density = 11.5 Mg/m³
Size of the total moment = 2.713 μB/cell
Symmetry = I-42d



3.
## CuAg2Os (PBE-GGA)

Data for an optimized crystal structure of CuAg2Os.

Cell: 2.6512 4.2593 5.5195 Å, 90.00 90.00 90.00°
Closest atoms and distances in Å follow each position.
Element x y z (fractional)
Ag (0.0000, 0.0000, 0.0018)  4 Ag 2.65-2.78, 4 Cu 2.86, 4 Os 2.87
Ag (0.0000, 0.0000, 0.4982)  4 Ag 2.65-2.78, 4 Cu 2.86, 4 Os 2.87
Cu (0.5000, 0.5000, 0.2500)  2 Cu 2.65, 2 Os 2.76, 8 Ag 2.86
Os (0.5000, 0.5000, 0.7500)  2 Os 2.65, 2 Cu 2.76, 8 Ag 2.87

Raw total energy = -18.6 eV for the cell shown
DFT formation energy = 611.4 meV per atom
Density = 12.5 Mg/m³
Size of the total moment = 0.004 μB/cell
Symmetry = Pmmm



4.
## CuAg2Os (PBE-GGA)

Data for an optimized crystal structure of CuAg2Os.

Cell: 9.5194 9.5194 9.5194 Å, 16.65 16.65 16.65°
Closest atoms and distances in Å follow each position.
Element x y z (fractional)
Ag (0.0021, 0.0021, 0.0021)  9 Ag 2.76-3.01, 3 Os 2.93
Ag (0.2448, 0.2448, 0.2448)  9 Ag 2.76-3.01, 3 Cu 2.79
Cu (0.4969, 0.4969, 0.4969)  3 Os 2.62, 6 Cu 2.76, 3 Ag 2.79
Os (0.7562, 0.7562, 0.7562)  3 Cu 2.62, 6 Os 2.76, 3 Ag 2.93

Raw total energy = -19.7 eV for the cell shown
DFT formation energy = 334.3 meV per atom
Density = 12.6 Mg/m³
Size of the total moment = 0.000 μB/cell
Symmetry = R3m



5.
## Cu2AgOs (PBE-GGA)

Data for an optimized crystal structure of Cu2AgOs.

Cell: 4.3063 2.5930 5.1928 Å, 75.59 90.00 90.00°
Closest atoms and distances in Å follow each position.
Element x y z (fractional)
Ag (0.5000, 0.7984, 0.7786)  7 Cu 2.56-2.79, 2 Ag 2.59
Cu (0.0000, 0.1905, 0.9950)  4 Cu 2.56-2.59, 3 Os 2.66-2.70, 4 Ag 2.74
Cu (0.5000, 0.0526, 0.2692)  4 Cu 2.56-2.59, 3 Ag 2.56-2.79, 4 Os 2.68-2.69
Os (0.0000, 0.4584, 0.4572)  2 Os 2.59, 7 Cu 2.66-2.70

Raw total energy = -20.6 eV for the cell shown
DFT formation energy = 408.3 meV per atom
Density = 12.6 Mg/m³
Size of the total moment = 0.000 μB/cell
Symmetry = Amm2



6.
## Cu2AgOs (PBE-GGA)

Data for an optimized crystal structure of Cu2AgOs.

Cell: 2.6493 4.5999 4.5999 Å, 90.00 90.00 90.00°
Closest atoms and distances in Å follow each position.
Element x y z (fractional)
Ag (0.5000, 0.0000, 0.5000)  2 Ag 2.65, 8 Cu 2.65
Cu (0.0000, 0.0000, 0.0000)  2 Cu 2.65, 4 Os 2.65, 4 Ag 2.65
Cu (0.0000, 0.5000, 0.5000)  2 Cu 2.65, 4 Ag 2.65, 4 Os 2.65
Os (0.5000, 0.5000, 0.0000)  2 Os 2.65, 8 Cu 2.65

Raw total energy = -20.6 eV for the cell shown
DFT formation energy = 409.3 meV per atom
Density = 12.6 Mg/m³
Size of the total moment = 0.000 μB/cell
Symmetry = P4/mmm



7.
## CuAg2Os (PBE-GGA)

Data for an optimized crystal structure of CuAg2Os.

Cell: 5.5844 5.5844 5.5844 Å, 152.30 128.30 59.66°
Closest atoms and distances in Å follow each position.
Element x y z (fractional)
Ag (0.0050, 0.0050, 0.0000)  4 Ag 2.67-2.93, 4 Cu 2.78, 2 Os 2.87
Ag (0.7356, 0.2356, 0.5000)  4 Ag 2.67-2.93, 2 Cu 2.71, 4 Os 2.79
Cu (0.4924, 0.4924, 0.0000)  2 Os 2.56, 2 Cu 2.67, 6 Ag 2.71-2.78
Os (0.2671, 0.7671, 0.5000)  2 Cu 2.56, 2 Os 2.67, 4 Ag 2.79

Raw total energy = -18.8 eV for the cell shown
DFT formation energy = 569.1 meV per atom
Density = 12.4 Mg/m³
Size of the total moment = 0.000 μB/cell
Symmetry = Imm2



8.
## CuAg2Os (PBE-GGA)

Data for an optimized crystal structure of CuAg2Os.

Cell: 2.7268 2.7268 8.3203 Å, 90.00 90.00 90.00°
Closest atoms and distances in Å follow each position.
Element x y z (fractional)
Ag (0.0000, 0.0000, 0.9925)  8 Ag 2.73-3.00, 4 Os 2.92
Ag (0.5000, 0.5000, 0.2680)  8 Ag 2.73-3.00, 4 Cu 2.80
Cu (0.0000, 0.0000, 0.5113)  4 Os 2.64, 4 Cu 2.73, 4 Ag 2.80
Os (0.5000, 0.5000, 0.7282)  4 Cu 2.64, 4 Os 2.73, 4 Ag 2.92

Raw total energy = -19.3 eV for the cell shown
DFT formation energy = 437.1 meV per atom
Density = 12.6 Mg/m³
Size of the total moment = 0.527 μB/cell
Symmetry = P4mm



9.
## Cu2AgOs (PBE-GGA)

Data for an optimized crystal structure of Cu2AgOs.

Cell: 4.7543 4.7543 4.7543 Å, 132.96 132.96 68.72°
Closest atoms and distances in Å follow each position.
Element x y z (fractional)
Ag (0.7500, 0.2500, 0.5000)  8 Cu 2.68-2.73, 4 Os 2.73
Cu (0.0000, 0.0000, 0.0000)  4 Os 2.68, 4 Cu 2.73, 4 Ag 2.73
Cu (0.2500, 0.7500, 0.5000)  4 Ag 2.68, 4 Os 2.73, 4 Cu 2.73
Os (0.5000, 0.5000, 0.0000)  8 Cu 2.68-2.73, 4 Ag 2.73

Raw total energy = -19.7 eV for the cell shown
DFT formation energy = 652.0 meV per atom
Density = 12.5 Mg/m³
Size of the total moment = 0.770 μB/cell
Symmetry = I-4m2



10.
## Cu4AgOs (PBE-GGA)

Data for an optimized crystal structure of Cu4AgOs.

Cell: 4.8237 4.8237 4.8237 Å, 60.00 60.00 60.00°
Closest atoms and distances in Å follow each position.
Element x y z (fractional)
Cu (0.8733, 0.3756, 0.3756)  6 Cu 2.40-2.42
Cu (0.3756, 0.3756, 0.8733)  6 Cu 2.40-2.42
Cu (0.3756, 0.8733, 0.3756)  6 Cu 2.40-2.42
Cu (0.3756, 0.3756, 0.3756)  6 Cu 2.40-2.42
Ag (0.0000, 0.0000, 0.0000)  12 Cu 2.83, 4 Os 2.95
Os (0.7500, 0.7500, 0.7500)  12 Cu 2.83, 4 Ag 2.95

Raw total energy = -28.0 eV for the cell shown
DFT formation energy = 414.1 meV per atom
Density = 11.6 Mg/m³
Size of the total moment = 0.660 μB/cell
Symmetry = F-43m



11.
## Cu3AgOs (PBE-GGA)

Data for an optimized crystal structure of Cu3AgOs.

Cell: 4.6468 4.6468 4.6468 Å, 90.00 90.00 90.00°
Closest atoms and distances in Å follow each position.
Element x y z (fractional)
Os (0.0000, 0.0000, 0.0000)  6 Cu 2.32
Cu (0.0000, 0.5000, 0.0000)  2 Os 2.32
Cu (0.0000, 0.0000, 0.5000)  2 Os 2.32
Cu (0.5000, 0.0000, 0.0000)  2 Os 2.32
Ag (0.5000, 0.5000, 0.5000)  12 Cu 3.29

Raw total energy = -19.6 eV for the cell shown
DFT formation energy = 1353.5 meV per atom
Density = 8.1 Mg/m³
Size of the total moment = 1.354 μB/cell
Symmetry = Pm-3m



12.
## Cu2AgOs (PBE-GGA)

Data for an optimized crystal structure of Cu2AgOs.

Cell: 4.6147 4.6147 5.0311 Å, 82.30 82.30 32.63°
Closest atoms and distances in Å follow each position.
Element x y z (fractional)
Ag (0.2500, 0.2500, 0.2500)  2 Ag 2.59, 6 Cu 2.73-2.79, 4 Os 2.83
Cu (0.0048, 0.0048, 0.9759)  4 Cu 2.59-2.63, 3 Os 2.65-2.67, 3 Ag 2.73-2.79
Cu (0.4952, 0.4952, 0.5241)  4 Cu 2.59-2.63, 3 Os 2.65-2.67, 3 Ag 2.73-2.79
Os (0.7500, 0.7500, 0.7500)  2 Os 2.59, 6 Cu 2.65-2.67, 4 Ag 2.83

Raw total energy = -20.5 eV for the cell shown
DFT formation energy = 434.7 meV per atom
Density = 12.3 Mg/m³
Size of the total moment = 0.000 μB/cell
Symmetry = C2/m



13.
## CuAg2POs (PBE-GGA)

Data for an optimized crystal structure of CuAg2POs.

Cell: 4.6406 4.6540 4.6406 Å, 90.00 90.00 90.00°
Closest atoms and distances in Å follow each position.
Element x y z (fractional)
P (0.5000, 0.5000, 0.5000)  4 Os 3.28, 8 Ag 3.29
Os (0.0000, 0.5000, 0.0000)  2 Cu 2.33
Cu (0.0000, 0.0000, 0.0000)  4 Ag 2.32, 2 Os 2.33
Ag (0.0000, 0.0000, 0.5000)  2 Cu 2.32
Ag (0.5000, 0.0000, 0.0000)  2 Cu 2.32

Raw total energy = -18.9 eV for the cell shown
DFT formation energy = 1511.6 meV per atom
Density = 8.3 Mg/m³
Size of the total moment = 2.124 μB/cell
Symmetry = P4/mmm



14.
## Cu2AgOsPd (PBE-GGA)

Data for an optimized crystal structure of Cu2AgOsPd.

Cell: 4.5531 4.9177 4.5531 Å, 90.00 90.00 90.00°
Closest atoms and distances in Å follow each position.
Element x y z (fractional)
Cu (0.0000, 0.0000, 0.5000)  2 Pd 2.28
Cu (0.5000, 0.0000, 0.0000)  2 Pd 2.28
Os (0.5000, 0.5000, 0.5000)  4 Ag 3.22, 8 Cu 3.35
Pd (0.0000, 0.0000, 0.0000)  4 Cu 2.28, 2 Ag 2.46
Ag (0.0000, 0.5000, 0.0000)  2 Pd 2.46

Raw total energy = -18.6 eV for the cell shown
DFT formation energy = 1765.0 meV per atom
Density = 8.7 Mg/m³
Size of the total moment = 2.881 μB/cell
Symmetry = P4/mmm



15.
## CuSiAgOs2 (PBE-GGA)

Data for an optimized crystal structure of CuSiAgOs2.

Cell: 4.9156 4.3977 4.9156 Å, 90.00 90.00 90.00°
Closest atoms and distances in Å follow each position.
Element x y z (fractional)
Si (0.0000, 0.5000, 0.0000)  2 Ag 2.20
Os (0.0000, 0.0000, 0.5000)  2 Ag 2.46
Os (0.5000, 0.0000, 0.0000)  2 Ag 2.46
Cu (0.5000, 0.5000, 0.5000)  8 Os 3.30, 4 Si 3.48
Ag (0.0000, 0.0000, 0.0000)  2 Si 2.20, 4 Os 2.46

Raw total energy = -21.8 eV for the cell shown
Uncorrected formation energy = 2.606 eV/atom
Density = 9.1 Mg/m³
Size of the total moment = 3.603 μB/cell
Symmetry = P4/mmm